# KTl2Hg, optimized geometry, DFT GGA-PBEsol
data_KTl2Hg
_cell_length_a 3.698
_cell_length_b 5.754
_cell_length_c 11.107
_cell_angle_alpha 90.00
_cell_angle_beta 90.00
_cell_angle_gamma 90.00
_space_group_name_H-M_alt 'I m m m'
_space_group_IT_number 71
_space_group_name_Hall '-I 2 2'
loop_
_atom_site_label
_atom_site_fract_x
_atom_site_fract_y
_atom_site_fract_z
K1 0.000 0.000 0.000
Tl1 0.000 0.500 0.222
Hg1 0.000 0.000 0.500
# * total DFT energy (no corrections): -1.848 eV/atom
# * relative energy among the computed polymorphs: 2.5 meV/atom
# * volume: 118.18 Å³/f.u.
# * Fermi-level density of states: 3.3 states/eV per cell
# * energy of formation from the pure elements: -0.108 eV per atom
# * magnetization: 0.00 μB/f.u.

=====

# KTlHg4, optimized geometry, DFT GGA-PBEsol
data_KTlHg4
_cell_length_a 8.586
_cell_length_b 8.586
_cell_length_c 8.586
_cell_angle_alpha 90.00
_cell_angle_beta 90.00
_cell_angle_gamma 90.00
_space_group_name_H-M_alt 'F -4 3 m'
_space_group_IT_number 216
_space_group_name_Hall 'F -4 2 3'
loop_
_atom_site_label
_atom_site_fract_x
_atom_site_fract_y
_atom_site_fract_z
K1 0.000 0.000 0.000
Tl1 0.250 0.250 0.250
Hg1 0.125 0.125 0.625
# * total DFT energy (no corrections): -1.138 eV/atom
# * volume: 158.26 Å³/f.u.
# * Fermi-level density of states: 12.3 states/eV per cell
# * energy of formation from the pure elements: -0.133 eV per atom
# * magnetization: 0.00 μB/f.u.

=====

# KTl2Hg2, optimized geometry, DFT GGA-PBEsol
data_KTl2Hg2
_cell_length_a 9.021
_cell_length_b 9.021
_cell_length_c 3.497
_cell_angle_alpha 90.00
_cell_angle_beta 90.00
_cell_angle_gamma 90.00
_space_group_name_H-M_alt 'P 4/m b m'
_space_group_IT_number 127
_space_group_name_Hall '-P 4 2ab'
loop_
_atom_site_label
_atom_site_fract_x
_atom_site_fract_y
_atom_site_fract_z
K1 0.000 0.000 0.000
Tl1 0.135 0.365 0.000
Hg1 0.160 0.660 0.500
# * total DFT energy (no corrections): -1.616 eV/atom
# * relative energy among the computed polymorphs: 0.0 meV/atom
# * volume: 142.29 Å³/f.u.
# * Fermi-level density of states: 4.3 states/eV per cell
# * energy of formation from the pure elements: -0.111 eV per atom
# * magnetization: 0.00 μB/f.u.